CdSiN | PBE-GGA | relaxed

Cell: 3.524 2.918 9.497 Å, 90.00 90.00 90.00°
Fractional positions:
Cd 0.000 0.000 0.000
Cd 0.000 0.500 0.500
Si 0.500 0.000 0.780
Si 0.500 0.500 0.280
N 0.500 0.000 0.180
N 0.500 0.500 0.680

Output
D(E_F)   1.15 states/eV/f.u.
Formation energy from raw total energies   22 meV per atom
Excess energy over the best structure of this formula in the dataset   0.208 eV/atom
Calculated total energy   -4.866 eV/atom

=====

Zn2MoCl | PBE-GGA | relaxed

Cell: 2.906 4.425 12.899 Å, 90.00 90.00 90.00°
Fractional positions:
Zn 0.000 0.000 0.000
Zn 0.000 0.500 0.122
Zn 0.500 0.000 0.622
Zn 0.500 0.500 0.500
Mo 0.000 0.000 0.453
Mo 0.500 0.500 0.953
Cl 0.000 0.500 0.802
Cl 0.500 0.000 0.302

Output
D(E_F)   1.55 states/eV/f.u.
Formation energy from raw total energies   83 meV per atom
Excess energy over the best structure of this formula in the dataset   0.002 eV/atom
Calculated total energy   -3.723 eV/atom

=====

ZnGaO2F | PBE-GGA | relaxed

Cell: 3.926 3.926 3.874 Å, 90.00 90.00 90.00°
Fractional positions:
Zn 0.000 0.000 0.000
Ga 0.500 0.500 0.500
O 0.000 0.500 0.000
O 0.500 0.000 0.000
F 0.000 0.000 0.500

Output
D(E_F)   2.07 states/eV/f.u.
Formation energy from raw total energies   -798 meV per atom
Calculated total energy   -4.015 eV/atom

=====

BaHg2S2 | PBE-GGA | relaxed

Cell: 5.132 5.132 9.955 Å, 90.00 90.00 90.00°
Fractional positions:
Ba 0.000 0.000 0.000
Ba 0.500 0.500 0.500
Hg 0.000 0.000 0.365
Hg 0.000 0.000 0.635
Hg 0.500 0.500 0.135
Hg 0.500 0.500 0.865
S 0.000 0.500 0.250
S 0.000 0.500 0.750
S 0.500 0.000 0.250
S 0.500 0.000 0.750

Output
D(E_F)   0.34 states/eV/f.u.
Formation energy from raw total energies   -703 meV per atom
Calculated total energy   -2.859 eV/atom